(1)
# HfNb4Sn

Crystalline HfNb4Sn at its relaxed geometry (PBE, the Alexandria database).

Cell and atoms, written as POSCAR:
```
HfNb4Sn
1.0
0.293 -1.382 -4.660
3.919 -2.697 1.047
-3.077 -3.192 3.297
Hf Nb Sn
1 4 1
Cartesian
0.000 0.000 0.000
0.222 -4.536 -1.185
-0.932 -2.120 -1.974
-1.852 -2.454 0.611
0.913 -2.735 0.869
2.106 -2.040 -1.807
```

Its formation energy is -0.06 eV/atom. The density of states at the Fermi level comes out at 5.830 states/eV/f.u.

=====

(2)
# HfNb2Sn

Crystalline HfNb2Sn at its relaxed geometry (PBE, the Alexandria database).

Cell and atoms, written as POSCAR:
```
HfNb2Sn
1.0
-1.149 0.287 3.368
-1.665 -3.144 -0.300
5.134 -2.910 1.999
Sn Nb Hf
1 2 1
Cartesian
-1.407 -1.428 1.534
1.224 -0.694 0.477
3.910 -2.216 1.522
1.160 -2.883 2.534
```

Its formation energy is -0.12 eV/atom. The density of states at the Fermi level comes out at 3.240 states/eV/f.u.

=====

(3)
# HfNb2Sn

Crystalline HfNb2Sn at its relaxed geometry (PBE, the Alexandria database).

Cell and atoms, written as POSCAR:
```
HfNb2Sn
1.0
-0.370 1.558 2.689
-2.868 0.437 1.174
-0.331 -7.682 6.226
Sn Hf Nb
1 1 2
Cartesian
-2.490 -6.347 8.799
-1.784 -2.845 5.046
-0.895 -1.395 2.506
-0.515 -5.626 5.010
```

Its formation energy is 0.17 eV/atom. The density of states at the Fermi level comes out at 5.176 states/eV/f.u.

=====

(4)
# HfNb2Sn

Crystalline HfNb2Sn at its relaxed geometry (PBE, the Alexandria database).

Cell and atoms, written as POSCAR:
```
HfNb2Sn
1.0
-5.943 3.284 3.747
-4.864 -5.089 -3.254
-5.002 -2.702 2.461
Nb Hf Sn
4 2 2
Cartesian
-5.107 -3.405 -0.904
-13.148 -3.543 2.317
-7.864 -2.767 1.990
-5.499 0.700 2.504
-8.174 -0.160 3.227
0.000 0.000 0.000
-7.635 -4.347 -0.274
-5.404 -0.903 0.246
```

Its formation energy is 0.53 eV/atom. The density of states at the Fermi level comes out at 3.368 states/eV/f.u.